## BaTlSi (PBE)

Data for a geometry-optimized BaTlSi structure.

- DOS(E_F) (states/eV/atom) = 0.42
- uncorrected energy (eV/atom) = -3.270
- raw formation energy (eV per atom) = -0.033
- energy above the most stable polymorph in this dataset (meV per atom) = 289

Cell: 6.694 6.694 3.842 Å, 73.32 73.33 33.35°
Atoms (fractional coordinates):
Si 0.308 0.308 0.692
Tl 0.699 0.699 0.301
Ba 0.993 0.993 0.007